Computed, not measured: crystalline Zn3CrGa at its relaxed geometry at the PBE level of DFT. Values from VASP.

Geometry as Quantum ESPRESSO input:
```
&SYSTEM
  ibrav = 0, nat = 5, ntyp = 3
/
ATOMIC_SPECIES
Cr 52.00 Cr.upf
Zn 65.41 Zn.upf
Ga 69.72 Ga.upf
ATOMIC_POSITIONS crystal
Cr 0.500 0.500 0.500
Zn 0.000 0.500 0.000
Zn 0.000 0.000 0.500
Zn 0.500 0.000 0.000
Ga 0.000 0.000 0.000
CELL_PARAMETERS angstrom
4.609 0.000 0.000
0.000 4.609 0.000
0.000 0.000 4.609
```

Symmetry: Pm-3m (221)
Total magnetization (μB/cell): 0.10
Crystal system: cubic
Relative energy among the computed polymorphs (kJ/mol of atoms): 43.3